# Lu2HfN

Lu2HfN after structural relaxation (PBE, Alexandria).

Output
For the density of states at the Fermi level, the calculation gives 0.903 states/eV per atom. As for the space-group type: No. 166. The value obtained for the formation energy without anion corrections is -0.597 eV/atom.

abc: 3.2557 3.2557 9.1595
angles: 79.76 79.76 60.00
Sites, in units of the cell vectors:
Lu  0.1173  0.1173  0.6481
Lu  0.8827  0.8827  0.3519
Hf  0.0000  0.0000  0.0000
N  0.5000  0.5000  0.5000

# LuHfNb

LuHfNb after structural relaxation (PBE, Alexandria).

Output
For the density of states at the Fermi level, the calculation gives 1.151 states/eV per atom. As for the space-group type: No. 107. As for the formation energy from the elements: 139 meV per atom.

abc: 3.6411 3.6411 5.8205
angles: 108.23 108.23 90.00
Sites, in units of the cell vectors:
Nb  0.6935  0.6935  0.3869
Lu  0.0033  0.0033  0.0065
Hf  0.3033  0.3033  0.6066

# LuHfNb4

LuHfNb4 after structural relaxation (PBE, Alexandria).

Output
For the density of states at the Fermi level, the calculation gives 2.152 states/eV per atom. As for the space-group type: No. 216. As for the formation energy from the elements: 111 meV per atom.

abc: 5.6058 5.6058 5.6058
angles: 60.00 60.00 60.00
Sites, in units of the cell vectors:
Nb  0.6251  0.6251  0.1246
Nb  0.6251  0.1246  0.6251
Nb  0.6251  0.6251  0.6251
Nb  0.1246  0.6251  0.6251
Lu  0.2500  0.2500  0.2500
Hf  0.0000  0.0000  0.0000